No. 1
! TiIr2CF (PBE-GGA, optimized geometry); values from VASP
&SYSTEM
  ibrav = 0, nat = 5, ntyp = 4
/
ATOMIC_SPECIES
Ti 47.87 Ti.upf
Ir 192.22 Ir.upf
C 12.01 C.upf
F 19.00 F.upf
CELL_PARAMETERS angstrom
3.934 0.000 0.000
0.000 3.934 0.000
0.000 0.000 4.470
ATOMIC_POSITIONS angstrom
Ti 0.000 0.000 0.000
Ir 0.000 1.967 2.235
Ir 1.967 0.000 2.235
C 0.000 0.000 2.235
F 1.967 1.967 0.000
! Symmetry: P4/mmm, No. 123
! Formation energy (no corrections), eV/atom: -0.089
! Crystal system: tetragonal
! Total magnetization, μB/f.u.: 0.0

***

No. 2
! Ac5Bi2N (PBE-GGA, optimized geometry); values from VASP
&SYSTEM
  ibrav = 0, nat = 8, ntyp = 3
/
ATOMIC_SPECIES
Ac 227.00 Ac.upf
Bi 208.98 Bi.upf
N 14.01 N.upf
CELL_PARAMETERS angstrom
6.132 -3.939 0.000
6.132 3.939 0.000
-4.996 0.000 6.229
ATOMIC_POSITIONS angstrom
Ac 0.000 0.000 0.000
Ac 4.317 1.939 5.853
Ac 6.779 1.896 2.924
Ac 4.317 -1.939 5.853
Ac 6.779 -1.896 2.924
Bi 1.267 0.000 5.954
Bi 9.934 0.000 2.783
N 6.065 0.000 4.158
! Symmetry: Cm, No. 8
! Formation energy (no corrections), eV/atom: -0.510
! Crystal system: monoclinic
! Total magnetization, μB/f.u.: 0.0

***

No. 3
! YNiB2Ru (PBE-GGA, optimized geometry); values from VASP
&SYSTEM
  ibrav = 0, nat = 5, ntyp = 4
/
ATOMIC_SPECIES
Y 88.91 Y.upf
Ni 58.69 Ni.upf
B 10.81 B.upf
Ru 101.07 Ru.upf
CELL_PARAMETERS angstrom
-1.844 1.844 4.791
1.844 -1.844 4.791
1.844 1.844 -4.791
ATOMIC_POSITIONS angstrom
Y 0.000 0.000 0.000
Ni 0.000 1.844 2.395
B 0.000 0.000 3.408
B 0.000 0.000 6.173
Ru 1.844 0.000 2.395
! Formation energy from the elements, eV per formula unit: -2.6
! Symmetry: I-4m2, No. 119
! Crystal system: tetragonal
! Total magnetization, μB/f.u.: 0.0